[1]
Here is a relaxed CoAsPb2 crystal from Alexandria. Energies are from PBE.

Cell lengths 3.337, 3.344, 8.462 Å; angles 66.89, 90.00, 90.00 degrees
Last column: magnetic moment on the atom in μB.
Positions (direct):
As: 0.500 0.250 0.250  0.03
Co: 0.500 0.750 0.750  1.11
Pb: 0.000 0.037 0.965  -0.03
Pb: 0.000 0.463 0.535  -0.03

DFT formation energy: 0.4392 eV/atom
Total moment: 0.25 μB/atom

***

[2]
Here is a relaxed PrIrPb crystal from Alexandria. Energies are from PBE.

Cell lengths 4.706, 8.419, 7.307 Å; angles 90.00, 90.00, 90.00 degrees
Positions (direct):
Pr: 0.250 0.816 0.476
Pr: 0.750 0.316 0.024
Pr: 0.250 0.684 0.976
Pr: 0.750 0.184 0.524
Pb: 0.750 0.927 0.157
Pb: 0.750 0.573 0.657
Pb: 0.250 0.073 0.843
Pb: 0.250 0.427 0.343
Ir: 0.750 0.604 0.258
Ir: 0.750 0.896 0.758
Ir: 0.250 0.104 0.242
Ir: 0.250 0.396 0.742

DFT formation energy: -0.4807 eV/atom
Total moment: 0.00 μB/atom

***

[3]
Here is a relaxed Pr3ZrAl8 crystal from Alexandria. Energies are from PBE.

Cell lengths 5.623, 5.623, 9.737 Å; angles 73.22, 73.22, 60.00 degrees
Positions (direct):
Pr: 0.375 0.375 0.876
Pr: 0.000 0.000 0.000
Pr: 0.500 0.500 0.499
Zr: 0.874 0.874 0.377
Al: 0.934 0.436 0.195
Al: 0.443 0.939 0.679
Al: 0.436 0.436 0.195
Al: 0.939 0.939 0.679
Al: 0.188 0.188 0.436
Al: 0.687 0.687 0.939
Al: 0.436 0.934 0.195
Al: 0.939 0.443 0.679

DFT formation energy: -0.4594 eV/atom
Total moment: 0.00 μB/atom

***

[4]
Here is a relaxed SrAlTl2 crystal from Alexandria. Energies are from PBE.

Cell lengths 3.856, 3.856, 7.618 Å; angles 90.00, 90.00, 92.51 degrees
Positions (direct):
Sr: 0.500 0.500 0.750
Tl: 0.000 0.000 0.040
Tl: 0.000 0.000 0.460
Al: 0.500 0.500 0.250

DFT formation energy: -0.0948 eV/atom
Total moment: 0.00 μB/atom

***

[5]
Here is a relaxed YScBeRh crystal from Alexandria. Energies are from PBE.

Cell lengths 4.713, 4.713, 4.713 Å; angles 60.00, 60.00, 60.00 degrees
Positions (direct):
Y: 0.000 0.000 0.000
Sc: 0.500 0.500 0.500
Rh: 0.250 0.250 0.250
Be: 0.750 0.750 0.750

DFT formation energy: -0.4018 eV/atom
Total moment: 0.00 μB/atom

***

Raw total energy for every record listed, in sequence, given in eV per cell: -17.42 -75.16 -58.34 -10.54 -25.48.